Record 1
{
  "formula": "BeIr2Ru",
  "functional": "PBE-GGA",
  "state": "relaxed",
  "lattice_angstrom": [[2.725, 0.000, 0.000], [0.000, 3.662, 0.000], [0.000, 0.000, 5.303]],
  "species": ["Ru", "Ir", "Ir", "Be"],
  "fractional_positions": [[0.500, 0.500, 0.250], [0.000, 0.000, 0.990], [0.000, 0.000, 0.510], [0.500, 0.500, 0.750]],
  "space_group": "Pmmm (47)",
  "ef_kcal_per_mol_atoms": -1.9
}

***

Record 2
{
  "formula": "Pr5ThN5",
  "functional": "PBE-GGA",
  "state": "relaxed",
  "lattice_angstrom": [[-1.090, -1.792, -4.784], [6.196, -0.336, 1.566], [-3.286, -5.896, 2.957]],
  "species": ["Pr", "Pr", "Pr", "Pr", "Pr", "Th", "N", "N", "N", "N", "N"],
  "fractional_positions": [[0.676, 0.353, 0.329], [0.671, 0.342, 0.843], [0.000, 0.000, 0.500], [0.329, 0.658, 0.157], [0.324, 0.647, 0.671], [0.000, 0.000, 0.000], [0.836, 0.672, 0.162], [0.840, 0.680, 0.677], [0.500, 0.000, 0.000], [0.160, 0.320, 0.323], [0.164, 0.328, 0.838]],
  "space_group": "C2/m (12)",
  "raw_formation_energy_mev_per_atom": -1238
}

***

Record 3
{
  "formula": "PmNiSb",
  "functional": "PBE-GGA",
  "state": "relaxed",
  "lattice_angstrom": [[-2.186, 3.206, -1.322], [-2.676, -0.565, 3.054], [4.744, 1.292, 1.645]],
  "species": ["Sb", "Pm", "Ni"],
  "fractional_positions": [[0.933, 0.933, 0.867], [0.280, 0.280, 0.559], [0.637, 0.637, 0.274]],
  "space_group": "I4mm (107)",
  "raw_formation_energy_mev_per_atom": -268
}

***

Record 4
{
  "formula": "SrGeBi",
  "functional": "PBE-GGA",
  "state": "relaxed",
  "lattice_angstrom": [[4.505, 0.000, 0.000], [0.000, 4.994, 0.000], [0.000, -2.497, 4.325]],
  "species": ["Sr", "Ge", "Bi"],
  "fractional_positions": [[0.667, 0.333, 0.667], [0.166, 0.667, 0.333], [0.167, 0.000, 0.000]],
  "space_group": "P-6m2 (187)",
  "ef_kcal_per_mol_atoms": -9.6
}

***

Record 5
{
  "formula": "Li5Cu4B4O12",
  "functional": "PBE-GGA",
  "state": "relaxed",
  "lattice_angstrom": [[5.168, -0.068, -0.017], [-2.508, -4.449, 0.008], [-0.258, 0.162, -10.396]],
  "species": ["Li", "Li", "Li", "Li", "Li", "Cu", "Cu", "Cu", "Cu", "B", "B", "B", "B", "O", "O", "O", "O", "O", "O", "O", "O", "O", "O", "O", "O"],
  "fractional_positions": [[0.365, 0.338, 0.324], [0.298, 0.297, 0.947], [0.698, 0.687, 0.091], [0.661, 0.680, 0.557], [0.560, 0.455, 0.758], [0.305, 0.989, 0.603], [0.963, 0.342, 0.131], [0.074, 0.671, 0.870], [0.691, 0.038, 0.368], [0.647, 0.004, 0.886], [0.992, 0.353, 0.621], [0.013, 0.671, 0.368], [0.364, 0.003, 0.129], [0.745, 0.102, 0.570], [0.909, 0.254, 0.928], [0.423, 0.060, 0.837], [0.947, 0.588, 0.670], [0.383, 0.280, 0.128], [0.269, 0.378, 0.624], [0.741, 0.647, 0.382], [0.608, 0.720, 0.899], [0.044, 0.429, 0.322], [0.604, 0.966, 0.173], [0.113, 0.758, 0.079], [0.267, 0.934, 0.403]],
  "space_group": "P1 (1)",
  "raw_formation_energy_mev_per_atom": -1714
}

***

Record 6
{
  "formula": "Ho3Er2ScTe6",
  "functional": "PBE-GGA",
  "state": "relaxed",
  "lattice_angstrom": [[-3.119, 2.855, -0.724], [-5.931, -6.128, 1.386], [2.918, 2.218, 8.895]],
  "species": ["Ho", "Ho", "Ho", "Er", "Er", "Sc", "Te", "Te", "Te", "Te", "Te", "Te"],
  "fractional_positions": [[0.500, 0.500, 0.000], [0.829, 0.164, 0.658], [0.171, 0.836, 0.342], [0.833, 0.668, 0.667], [0.167, 0.332, 0.333], [0.500, 0.000, 0.000], [0.339, 0.918, 0.677], [0.667, 0.583, 0.334], [0.661, 0.082, 0.323], [0.999, 0.241, 0.997], [0.001, 0.759, 0.003], [0.333, 0.417, 0.666]],
  "space_group": "C2/m (12)",
  "raw_formation_energy_mev_per_atom": -1207
}

***

Record 7
{
  "formula": "Rb2La2NpS6",
  "functional": "PBE-GGA",
  "state": "relaxed",
  "lattice_angstrom": [[-0.849, -6.619, -2.942], [2.388, 0.598, 6.865], [-7.880, 1.808, 1.270]],
  "species": ["Rb", "Rb", "La", "La", "Np", "S", "S", "S", "S", "S", "S"],
  "fractional_positions": [[0.831, 0.169, 0.000], [0.169, 0.831, 0.000], [0.334, 0.666, 0.500], [0.666, 0.334, 0.500], [0.000, 0.000, 0.500], [0.753, 0.753, 0.687], [0.060, 0.378, 0.687], [0.247, 0.247, 0.313], [0.378, 0.060, 0.687], [0.940, 0.622, 0.313], [0.622, 0.940, 0.313]],
  "space_group": "C2/m (12)",
  "raw_formation_energy_mev_per_atom": -1726
}

***

Record 8
{
  "formula": "LiTbCd5",
  "functional": "PBE-GGA",
  "state": "relaxed",
  "lattice_angstrom": [[5.328, -0.109, 0.000], [-1.837, 5.002, 0.000], [0.000, 0.000, 6.597]],
  "species": ["Li", "Tb", "Cd", "Cd", "Cd", "Cd", "Cd"],
  "fractional_positions": [[0.500, 0.500, 0.500], [0.000, 0.000, 0.000], [0.500, 0.000, 0.256], [0.000, 0.500, 0.256], [0.000, 0.000, 0.500], [0.000, 0.500, 0.744], [0.500, 0.000, 0.744]],
  "space_group": "Cmmm (65)",
  "ef_kcal_per_mol_atoms": -2.4
}

***

Record 9
{
  "formula": "Li3HoSn2",
  "functional": "PBE-GGA",
  "state": "relaxed",
  "lattice_angstrom": [[-1.314, 3.537, 2.689], [-1.917, -2.678, 6.577], [6.216, 0.840, 5.924]],
  "species": ["Li", "Li", "Li", "Li", "Li", "Li", "Ho", "Ho", "Sn", "Sn", "Sn", "Sn"],
  "fractional_positions": [[0.721, 0.099, 0.458], [0.051, 0.280, 0.619], [0.404, 0.506, 0.687], [0.596, 0.494, 0.313], [0.949, 0.720, 0.381], [0.279, 0.901, 0.542], [0.139, 0.742, 0.979], [0.861, 0.258, 0.021], [0.546, 0.098, 0.810], [0.454, 0.902, 0.190], [0.212, 0.306, 0.271], [0.788, 0.694, 0.729]],
  "space_group": "C2/m (12)",
  "ef_kcal_per_mol_atoms": -10.6
}

***

Record 10
{
  "formula": "NaPaSO5",
  "functional": "PBE-GGA",
  "state": "relaxed",
  "lattice_angstrom": [[-0.991, 1.295, 5.737], [-4.978, -3.258, -0.420], [6.936, -5.077, -0.737]],
  "species": ["Na", "Na", "Pa", "Pa", "S", "S", "O", "O", "O", "O", "O", "O", "O", "O", "O", "O"],
  "fractional_positions": [[0.311, 0.689, 0.250], [0.689, 0.311, 0.750], [0.000, 0.000, 0.500], [0.000, 0.000, 0.000], [0.676, 0.324, 0.250], [0.324, 0.676, 0.750], [0.025, 0.975, 0.250], [0.975, 0.025, 0.750], [0.828, 0.289, 0.040], [0.172, 0.711, 0.960], [0.711, 0.172, 0.460], [0.289, 0.828, 0.540], [0.733, 0.594, 0.351], [0.267, 0.406, 0.649], [0.406, 0.267, 0.149], [0.594, 0.733, 0.851]],
  "space_group": "C2/c (15)",
  "raw_formation_energy_mev_per_atom": -2186
}

***

Record 11
{
  "formula": "Cs2Hg17",
  "functional": "PBE-GGA",
  "state": "relaxed",
  "lattice_angstrom": [[-1.812, -7.458, 3.761], [7.005, -4.283, -2.377], [4.570, 1.107, 7.137]],
  "species": ["Cs", "Cs", "Hg", "Hg", "Hg", "Hg", "Hg", "Hg", "Hg", "Hg", "Hg", "Hg", "Hg", "Hg", "Hg", "Hg", "Hg", "Hg", "Hg"],
  "fractional_positions": [[0.334, 0.334, 0.334], [0.666, 0.666, 0.666], [0.649, 0.649, 0.160], [0.160, 0.649, 0.649], [0.903, 0.903, 0.903], [0.097, 0.097, 0.097], [0.000, 0.000, 0.500], [0.000, 0.500, 0.000], [0.500, 0.000, 0.000], [0.297, 0.703, 0.000], [0.703, 0.000, 0.297], [0.000, 0.297, 0.703], [0.703, 0.297, 0.000], [0.297, 0.000, 0.703], [0.000, 0.703, 0.297], [0.840, 0.351, 0.351], [0.351, 0.351, 0.840], [0.351, 0.840, 0.351], [0.649, 0.160, 0.649]],
  "space_group": "R-3m (166)",
  "ef_kcal_per_mol_atoms": -3.0
}

***

Record 12
{
  "formula": "TcRu2Pt",
  "functional": "PBE-GGA",
  "state": "relaxed",
  "lattice_angstrom": [[-1.618, 1.033, 1.915], [-2.047, -1.532, -0.904], [2.139, -5.757, 4.914]],
  "species": ["Pt", "Ru", "Ru", "Tc"],
  "fractional_positions": [[0.500, 0.500, 0.749], [0.000, 0.000, 0.011], [0.500, 0.500, 0.246], [0.000, 0.000, 0.494]],
  "space_group": "P4mm (99)",
  "ef_kcal_per_mol_atoms": -0.1
}

***

no.,E (eV/atom)
1,-7.763
2,-7.869
3,-5.153
4,-3.810
5,-6.201
6,-5.211
7,-6.225
8,-1.691
9,-3.514
10,-7.153
11,-0.491
12,-8.745